No. 1
The following is a PBE calculation of a relaxed BeTcHg crystal, from OQMD via LeMat-Bulk.

a = 5.695 Å, b = 5.695 Å, c = 5.695 Å
α = 90.00°, β = 90.00°, γ = 90.00°
Space group F-43m (No. 216)
Symmetry-distinct sites (fractional):
Be1 0.000 0.000 0.000 x4
Tc1 0.250 0.250 0.250 x4
Hg1 0.250 0.250 0.750 x4

Values from the calculation:
Electronic total energy ... -4.212 eV/atom

No. 2
The following is a PBE calculation of a relaxed BeTcHg crystal, from OQMD via LeMat-Bulk.

a = 6.091 Å, b = 6.091 Å, c = 6.091 Å
α = 90.00°, β = 90.00°, γ = 90.00°
Space group F-43m (No. 216)
Symmetry-distinct sites (fractional):
Be1 0.000 0.000 0.000 x4
Tc1 0.250 0.250 0.250 x4
Hg1 0.000 0.000 0.500 x4

Values from the calculation:
Electronic total energy ... -3.705 eV/atom

No. 3
The following is a PBE calculation of a relaxed BeHg2Te3 crystal, from OQMD via LeMat-Bulk.

a = 13.320 Å, b = 7.705 Å, c = 7.295 Å
α = 90.00°, β = 90.00°, γ = 90.00°
Space group Cmc2_1 (No. 36)
Symmetry-distinct sites (fractional):
Be1 0.000 0.153 0.000 x4
Hg1 0.158 0.331 0.492 x8
Te1 0.000 0.130 0.657 x4
Te2 0.150 0.311 0.100 x8

Values from the calculation:
Electronic total energy ... -2.504 eV/atom

No. 4
The following is a PBE calculation of a relaxed BeHgTe2 crystal, from OQMD via LeMat-Bulk.

a = 4.284 Å, b = 4.284 Å, c = 6.351 Å
α = 90.00°, β = 90.00°, γ = 90.00°
Space group P-4m2 (No. 115)
Symmetry-distinct sites (fractional):
Be1 0.000 0.000 0.000 x1
Hg1 0.500 0.500 0.500 x1
Te1 0.000 0.500 0.205 x2

Values from the calculation:
Electronic total energy ... -2.784 eV/atom

No. 5
The following is a PBE calculation of a relaxed BeHgTe crystal, from OQMD via LeMat-Bulk.

a = 6.517 Å, b = 6.517 Å, c = 6.517 Å
α = 90.00°, β = 90.00°, γ = 90.00°
Space group F-43m (No. 216)
Symmetry-distinct sites (fractional):
Be1 0.000 0.000 0.000 x4
Hg1 0.250 0.250 0.750 x4
Te1 0.250 0.250 0.250 x4

Values from the calculation:
Electronic total energy ... -2.096 eV/atom

No. 6
The following is a PBE calculation of a relaxed BeHgTe2 crystal, from OQMD via LeMat-Bulk.

a = 7.309 Å, b = 7.309 Å, c = 7.309 Å
α = 90.00°, β = 90.00°, γ = 90.00°
Space group F-43m (No. 216)
Symmetry-distinct sites (fractional):
Be1 0.000 0.000 0.000 x4
Hg1 0.250 0.250 0.250 x4
Te1 0.000 0.000 0.500 x4
Te2 0.250 0.250 0.750 x4

Values from the calculation:
Electronic total energy ... -1.909 eV/atom

No. 7
The following is a PBE calculation of a relaxed BeTlHg2 crystal, from OQMD via LeMat-Bulk.

a = 7.170 Å, b = 7.170 Å, c = 7.170 Å
α = 90.00°, β = 90.00°, γ = 90.00°
Space group F-43m (No. 216)
Symmetry-distinct sites (fractional):
Be1 0.000 0.000 0.000 x4
Tl1 0.250 0.250 0.750 x4
Hg1 0.000 0.000 0.500 x4
Hg2 0.250 0.250 0.250 x4

Values from the calculation:
Electronic total energy ... -1.130 eV/atom

No. 8
The following is a PBE calculation of a relaxed BeTl2Hg crystal, from OQMD via LeMat-Bulk.

a = 7.327 Å, b = 7.327 Å, c = 7.327 Å
α = 90.00°, β = 90.00°, γ = 90.00°
Space group F-43m (No. 216)
Symmetry-distinct sites (fractional):
Be1 0.000 0.000 0.000 x4
Tl1 0.000 0.000 0.500 x4
Tl2 0.250 0.250 0.750 x4
Hg1 0.250 0.250 0.250 x4

Values from the calculation:
Electronic total energy ... -1.625 eV/atom

No. 9
The following is a PBE calculation of a relaxed Be2TlHg crystal, from OQMD via LeMat-Bulk.

a = 6.709 Å, b = 6.709 Å, c = 6.709 Å
α = 90.00°, β = 90.00°, γ = 90.00°
Space group F-43m (No. 216)
Symmetry-distinct sites (fractional):
Be1 0.000 0.000 0.000 x4
Be2 0.250 0.250 0.250 x4
Tl1 0.000 0.000 0.500 x4
Hg1 0.250 0.250 0.750 x4

Values from the calculation:
Electronic total energy ... -1.590 eV/atom

No. 10
The following is a PBE calculation of a relaxed TmBeHg crystal, from OQMD via LeMat-Bulk.

a = 6.654 Å, b = 6.654 Å, c = 6.654 Å
α = 90.00°, β = 90.00°, γ = 90.00°
Space group F-43m (No. 216)
Symmetry-distinct sites (fractional):
Tm1 0.000 0.000 0.000 x4
Be1 0.250 0.250 0.750 x4
Hg1 0.250 0.250 0.250 x4

Values from the calculation:
Electronic total energy ... -2.319 eV/atom

No. 11
The following is a PBE calculation of a relaxed TmBeHg crystal, from OQMD via LeMat-Bulk.

a = 6.507 Å, b = 6.507 Å, c = 6.507 Å
α = 90.00°, β = 90.00°, γ = 90.00°
Space group F-43m (No. 216)
Symmetry-distinct sites (fractional):
Tm1 0.000 0.000 0.000 x4
Be1 0.000 0.000 0.500 x4
Hg1 0.250 0.250 0.750 x4

Values from the calculation:
Electronic total energy ... -2.644 eV/atom

No. 12
The following is a PBE calculation of a relaxed UBeHg crystal, from OQMD via LeMat-Bulk.

a = 6.764 Å, b = 6.764 Å, c = 6.764 Å
α = 90.00°, β = 90.00°, γ = 90.00°
Space group F-43m (No. 216)
Symmetry-distinct sites (fractional):
U1 0.000 0.000 0.000 x4
Be1 0.250 0.250 0.750 x4
Hg1 0.250 0.250 0.250 x4

Values from the calculation:
Electronic total energy ... -3.918 eV/atom

Question: Which formula does entry 12 have?
Answer: UBeHg

Question: The lowest electronic total energy belongs to which entry?
Answer: number 1

Question: Look up the electronic total energy of the tenth one.
Answer: -2.319 eV/atom